[1]
This record from the Alexandria database describes a relaxed CeDy3Y4Se8 crystal. The functional is PBE-GGA.

a = 8.1950 Å, b = 8.1926 Å, c = 8.1950 Å
α = 120.00°, β = 120.00°, γ = 90.00°
Atoms (fractional coordinates):
1 Ce 0.0000 0.5000 0.0000
2 Dy 0.5000 0.5000 0.0000
3 Dy 0.5000 0.5000 0.5000
4 Dy 0.0000 0.5000 0.5000
5 Y 0.5000 0.0000 0.0000
6 Y 0.5000 0.0000 0.5000
7 Y 0.0000 0.0000 0.0000
8 Y 0.0000 0.0000 0.5000
9 Se 0.2526 0.7521 0.9990
10 Se 0.2531 0.7523 0.5063
11 Se 0.2508 0.2513 0.5017
12 Se 0.7464 0.7521 0.9990
13 Se 0.2536 0.2479 0.0010
14 Se 0.7492 0.7487 0.4983
15 Se 0.7469 0.2477 0.4937
16 Se 0.7474 0.2479 0.0010

## Properties
Formation energy without anion corrections ... -1.767 eV per atom



[2]
This record from the Alexandria database describes a relaxed CePm6Tl6 crystal. The functional is PBE-GGA.

a = 6.5078 Å, b = 6.5078 Å, c = 10.9082 Å
α = 90.00°, β = 90.00°, γ = 120.00°
Atoms (fractional coordinates):
1 Ce 0.0000 0.0000 0.0000
2 Pm 0.0000 0.0000 0.6666
3 Pm 0.0000 0.0000 0.3334
4 Pm 0.3333 0.6667 0.0000
5 Pm 0.6667 0.3333 0.0000
6 Pm 0.3333 0.6667 0.5000
7 Pm 0.6667 0.3333 0.5000
8 Tl 0.0000 0.5000 0.7539
9 Tl 0.5000 0.0000 0.7539
10 Tl 0.5000 0.5000 0.7539
11 Tl 0.5000 0.0000 0.2461
12 Tl 0.0000 0.5000 0.2461
13 Tl 0.5000 0.5000 0.2461

## Properties
Formation enthalpy at 0 K ... -0.21 eV per atom



[3]
This record from the Alexandria database describes a relaxed PrNi2Pt crystal. The functional is PBE-GGA.

a = 4.2812 Å, b = 4.2812 Å, c = 9.2871 Å
α = 90.00°, β = 90.00°, γ = 120.00°
Atoms (fractional coordinates):
1 Pr 0.3333 0.6667 0.2500
2 Pr 0.6667 0.3333 0.7500
3 Ni 0.6667 0.3333 0.0451
4 Ni 0.3333 0.6667 0.5451
5 Ni 0.6667 0.3333 0.4549
6 Ni 0.3333 0.6667 0.9549
7 Pt 0.0000 0.0000 0.0000
8 Pt 0.0000 0.0000 0.5000

## Properties
Formation enthalpy at 0 K ... -0.50 eV per atom



E values (in eV/cell) by entry order: -101.75 -51.36 -48.76.